[1]
Ti2GeSbS, PBEsol geometry, DFT SCAN; energy relative to the elements, uncorrected = 0.8 eV per formula unit; crystal system = tetragonal; space-group type = No. 123
1.0
4.4781 0.0000 0.0000
0.0000 4.4781 0.0000
0.0000 0.0000 5.2015
Ti Ge Sb S
2 1 1 1
Cartesian
0.0000 2.2391 0.0000
2.2391 0.0000 0.0000
0.0000 0.0000 2.6008
2.2391 2.2391 2.6008
2.2391 2.2391 0.0000



[2]
MgH8Cl2O4, PBEsol geometry, DFT SCAN; crystal system = orthorhombic; space-group type = No. 60; DFT total energy = -372.6 eV for the cell shown
1.0
7.3468 0.0000 0.0000
0.0000 8.2613 0.0000
0.0000 0.0000 10.7608
Mg H Cl O
4 32 8 16
Cartesian
0.0000 1.0102 2.6902
0.0000 7.2511 8.0706
3.6734 3.1205 8.0706
3.6734 5.1409 2.6902
0.5492 3.6549 2.1204
0.5492 4.6064 7.5008
0.5679 1.6384 7.5223
0.5679 6.6230 2.1419
1.4193 1.8084 4.8434
1.4193 6.4529 10.2238
1.5135 0.2425 4.8254
1.5135 8.0188 10.2058
2.1599 3.8882 10.2058
2.1599 4.3732 4.8254
2.2541 2.3222 10.2238
2.2541 5.9391 4.8434
3.1055 2.4923 2.1419
3.1055 5.7690 7.5223
3.1242 0.4757 7.5008
3.1242 7.7856 2.1204
4.2226 0.4757 8.6404
4.2226 7.7856 3.2600
4.2413 2.4923 3.2385
4.2413 5.7690 8.6189
5.0927 2.3222 5.9174
5.0927 5.9391 0.5370
5.1869 3.8882 5.9354
5.1869 4.3732 0.5550
5.8333 0.2425 0.5550
5.8333 8.0188 5.9354
5.9275 1.8084 0.5370
5.9275 6.4529 5.9174
6.7789 1.6384 8.6189
6.7789 6.6230 3.2385
6.7976 3.6549 3.2600
6.7976 4.6064 8.6404
1.6698 3.1316 6.4662
1.6698 5.1297 1.0858
2.0036 0.9991 1.0858
2.0036 7.2623 6.4662
5.3432 0.9991 4.2946
5.3432 7.2623 9.6750
5.6770 3.1316 9.6750
5.6770 5.1297 4.2946
0.0000 1.0373 8.0706
0.0000 3.0552 2.6902
0.0000 5.2061 8.0706
0.0000 7.2240 2.6902
1.3134 1.0229 4.2475
1.3134 7.2384 9.6279
2.3600 3.1078 9.6279
2.3600 5.1536 4.2475
3.6734 1.0755 8.0706
3.6734 3.0933 2.6902
3.6734 5.1680 8.0706
3.6734 7.1859 2.6902
4.9868 3.1078 6.5133
4.9868 5.1536 1.1329
6.0334 1.0229 1.1329
6.0334 7.2384 6.5133